# RbAuS2O8 | Alexandria | PBE | relaxed
# **E_tot**: -66.8 eV for the cell shown
data_RbAuS2O8
_chemical_formula_sum 'Rb1 Au1 S2 O8'
_symmetry_space_group_name_H-M 'P -1'
_symmetry_Int_Tables_number 2
_cell_length_a 4.331
_cell_length_b 5.247
_cell_length_c 9.041
_cell_angle_alpha 79.24
_cell_angle_beta 88.99
_cell_angle_gamma 76.10
loop_
_symmetry_equiv_pos_as_xyz
'x,y,z'
'-x,-y,-z'
loop_
_atom_site_label
_atom_site_fract_x
_atom_site_fract_y
_atom_site_fract_z
Rb1 0.000 0.000 0.000
Au1 0.000 0.500 0.500
S1 0.462 0.598 0.739
O1 0.227 0.722 0.603
O2 0.254 0.603 0.316
O3 0.331 0.432 0.858
O4 0.446 0.175 0.222